# 1
The following is a PBE calculation of an optimized crystal structure of Ni4Pt5Rh2, from Alexandria.

Geometry as extended XYZ:
```
11
Lattice="-2.1702 1.4626 -4.6657 1.5352 -8.5294 -0.3211 -3.6575 4.4469 3.0953" Properties=species:S:1:pos:R:3 pbc="T T T"
Ni -2.2945 0.7108 -1.7767
Ni -1.9979 -3.3308 -0.1148
Ni -0.9901 -3.2779 -3.6338
Ni -3.3023 0.6579 1.7423
Pt -3.5042 -1.1108 -0.2490
Pt -0.7882 -1.5091 -1.6425
Pt -2.9138 2.9547 -0.7852
Pt -2.4210 -1.8409 2.0798
Pt -1.8714 -0.7791 -3.9713
Rh -3.1043 -2.6548 -2.4551
Rh -1.1881 0.0348 0.5636
```

Space-group type = No. 12
Energy of formation = 0.13 eV per atom
Crystal system = monoclinic


# 2
The following is a PBE calculation of an optimized crystal structure of CdO2, from Alexandria.

Geometry as extended XYZ:
```
6
Lattice="-2.7408 -2.0189 -0.7745 2.8407 -1.4011 1.4682 -3.0165 1.3588 7.1330" Properties=species:S:1:pos:R:3 pbc="T T T"
Cd 0.2260 -1.2674 2.5039
Cd -3.1427 -0.7939 5.3228
O -3.0222 -1.8922 -0.1091
O 1.0510 -0.5950 5.7000
O 0.1055 -0.1691 7.9359
O -3.9677 -1.4663 2.1267
```

Space-group type = No. 194
Uncorrected formation energy = -409 meV per atom
Crystal system = hexagonal


# 3
The following is a PBE calculation of an optimized crystal structure of CsMn3Ni, from Alexandria.

Geometry as extended XYZ:
```
5
Lattice="4.8950 0.0000 0.0000 0.0000 4.8950 0.0000 0.0000 0.0000 4.8950" Properties=species:S:1:pos:R:3 pbc="T T T"
Cs 2.4475 2.4475 2.4475
Ni 0.0000 0.0000 0.0000
Mn 0.0000 2.4475 0.0000
Mn 0.0000 0.0000 2.4475
Mn 2.4475 0.0000 0.0000
```

Space-group type = No. 221
Excess energy over the best structure of this formula in the dataset = 0.000 eV per atom
Energy of formation = 0.92 eV per atom
Crystal system = cubic


# 4
The following is a PBE calculation of an optimized crystal structure of Tm3Ni6Ge5, from Alexandria.

Geometry as extended XYZ:
```
28
Lattice="-1.7355 2.3846 2.6578 -0.6935 -6.9759 5.8058 10.8955 2.7698 4.6295" Properties=species:S:1:pos:R:3 pbc="T T T"
Tm 7.1667 0.1676 4.5294
Tm 0.4951 -3.6065 6.5243
Tm 7.6153 -1.7964 9.5496
Tm -0.1719 -1.7289 1.4389
Tm 4.0583 -2.6698 8.0106
Tm 3.3913 -0.7922 2.9253
Ni 9.0838 2.3039 3.8646
Ni 5.6982 -3.9327 10.2145
Ni 7.6646 0.5706 7.4582
Ni -1.2196 -2.3466 4.2742
Ni 5.1061 -2.0521 5.1753
Ni 7.1174 -2.1995 6.6209
Ni 2.9604 -3.2562 4.8545
Ni -1.5605 -5.7754 7.1279
Ni 1.8106 0.4549 0.7742
Ni 0.9261 -1.1424 4.5950
Ni 5.4469 1.3767 2.3216
Ni 2.0759 -4.8535 8.6753
Ge 9.2423 -1.2465 7.1534
Ge 6.6573 -4.1166 8.0405
Ge -0.5868 -5.9028 4.9127
Ge 5.5397 -0.3823 6.9256
Ge 4.4733 1.5041 4.5368
Ge 0.9197 -3.3623 3.6172
Ge 2.9668 -1.0364 5.8324
Ge 3.0532 -5.0328 6.5091
Ge 8.1246 2.4877 6.0386
Ge 0.8333 0.6341 2.9405
```

Space-group type = No. 59
Energy of formation = -0.67 eV per atom
Crystal system = orthorhombic


# 5
The following is a PBE calculation of an optimized crystal structure of SiAsP2, from Alexandria.

Geometry as extended XYZ:
```
4
Lattice="6.8057 -0.0658 -0.0397 5.9158 3.3652 -0.0397 5.9158 1.5343 2.9953" Properties=species:S:1:pos:R:3 pbc="T T T"
As 14.2441 3.6943 2.2286
P 18.3387 4.7563 2.8692
P 4.7867 1.2415 0.7489
Si 9.2238 2.3922 1.4431
```

Space-group type = No. 160
Excess energy over the best structure of this formula in the dataset = 0.049 eV per atom
Uncorrected formation energy = 150 meV per atom
Crystal system = trigonal


# 6
The following is a PBE calculation of an optimized crystal structure of Te2HF, from Alexandria.

Geometry as extended XYZ:
```
4
Lattice="2.7300 -7.1512 -0.4505 1.9175 -6.4618 -3.6557 4.8722 -5.4129 -2.3993" Properties=species:S:1:pos:R:3 pbc="T T T"
H 4.7599 -9.5130 -3.2527
Te 8.5487 -17.0852 -5.8419
Te 0.9710 -1.9407 -0.6636
F 0.0000 0.0000 0.0000
```

Space-group type = No. 166
Excess energy over the best structure of this formula in the dataset = 0.185 eV per atom
Crystal system = trigonal


# 7
The following is a PBE calculation of an optimized crystal structure of GaSb2MoC, from Alexandria.

Geometry as extended XYZ:
```
5
Lattice="5.1544 0.0000 0.0000 0.0000 4.9658 0.0000 0.0000 0.0000 5.1544" Properties=species:S:1:pos:R:3 pbc="T T T"
Sb 0.0000 0.0000 2.5772
Sb 2.5772 0.0000 0.0000
Mo 0.0000 0.0000 0.0000
C 2.5772 2.4829 2.5772
Ga 0.0000 2.4829 0.0000
```

Space-group type = No. 123
Uncorrected formation energy = 1531 meV per atom
Crystal system = tetragonal


# 8
The following is a PBE calculation of an optimized crystal structure of HoAl4Ir, from Alexandria.

Geometry as extended XYZ:
```
12
Lattice="-3.2388 3.2388 5.7116 3.2388 -3.2388 5.7116 3.2388 3.2388 -5.7116" Properties=species:S:1:pos:R:3 pbc="T T T"
Ho 0.0000 0.0000 5.7116
Ho 0.0000 0.0000 0.0000
Al 0.9646 2.2743 1.8750
Al 2.2743 -0.9646 1.8750
Al 4.2034 0.9646 1.8750
Al -0.9646 2.2743 3.8367
Al 0.9646 4.2034 3.8367
Al 2.2743 0.9646 3.8367
Al 4.2034 -0.9646 3.8367
Al -0.9646 4.2034 1.8750
Ir 0.0000 0.0000 2.8558
Ir 0.0000 0.0000 8.5675
```

Space-group type = No. 140
Energy of formation = -0.42 eV per atom
Crystal system = tetragonal


# 9
The following is a PBE calculation of an optimized crystal structure of Na2ThPbS4, from Alexandria.

Geometry as extended XYZ:
```
8
Lattice="-3.9754 -0.7972 -1.0420 -0.3653 -4.8652 5.1163 -2.2534 3.1517 6.1859" Properties=species:S:1:pos:R:3 pbc="T T T"
Na -2.2534 3.1517 6.1859
Na -3.1144 1.1772 2.5720
Th -1.3094 -0.8567 5.6511
Pb -2.1703 -2.8312 2.0371
S -1.9214 -1.2756 8.3065
S -4.6727 -1.2351 1.9537
S -2.8673 -3.1042 4.9048
S -3.7269 0.5935 5.3554
```

Space-group type = No. 10
Uncorrected formation energy = -1361 meV per atom
Crystal system = monoclinic


# 10
The following is a PBE calculation of an optimized crystal structure of Cr2SiBr, from Alexandria.

Geometry as extended XYZ:
```
4
Lattice="-1.5489 -3.5318 5.5200 -2.4289 -6.0542 1.6700 4.0897 3.7742 -3.7911" Properties=species:S:1:pos:R:3 pbc="T T T"
Br -0.3763 -4.0480 1.1205
Cr -3.8991 -9.3965 7.0478
Cr 0.5805 -1.5414 2.1114
Si -2.1599 -5.2051 3.9040
```

Space-group type = No. 44
Excess energy over the best structure of this formula in the dataset = 0.135 eV per atom
Uncorrected formation energy = 282 meV per atom
Crystal system = orthorhombic


# 11
The following is a PBE calculation of an optimized crystal structure of Sc2SnRhC, from Alexandria.

Geometry as extended XYZ:
```
5
Lattice="-4.6152 1.4010 0.9010 -1.4629 -4.6818 -0.2131 0.7984 -0.4687 4.8184" Properties=species:S:1:pos:R:3 pbc="T T T"
Sc 0.3992 -0.2344 2.4092
Sc -2.3076 0.7005 0.4505
C -2.6398 -1.8748 2.7532
Rh 0.0000 0.0000 0.0000
Sn -0.7314 -2.3409 -0.1065
```

Space-group type = No. 123
Excess energy over the best structure of this formula in the dataset = 1.415 eV per atom
Energy of formation = 0.85 eV per atom
Crystal system = tetragonal


# 12
The following is a PBE calculation of an optimized crystal structure of Dy2InAg, from Alexandria.

Geometry as extended XYZ:
```
4
Lattice="-2.2463 -2.0766 1.9527 2.6610 -0.6365 2.3843 -2.1682 6.1695 4.0667" Properties=species:S:1:pos:R:3 pbc="T T T"
In -0.8768 1.7282 4.2018
Ag 0.2073 -1.3565 2.1685
Dy -1.6558 4.7113 3.1055
Dy -0.5125 1.4582 0.9612
```

Space-group type = No. 123
Energy of formation = -0.40 eV per atom
Crystal system = tetragonal


# 13
The following is a PBE calculation of an optimized crystal structure of Rb2HfHgTe4, from Alexandria.

Geometry as extended XYZ:
```
16
Lattice="-4.6137 -2.5839 -3.9740 0.9651 -8.1988 -1.2949 -10.0524 -3.8908 8.6950" Properties=species:S:1:pos:R:3 pbc="T T T"
Rb -7.2220 -2.9411 4.7915
Rb -7.4441 -3.5336 -0.0705
Rb -10.8343 -8.9325 4.6231
Rb -5.1735 -7.0331 -3.1840
Hf -8.0039 -7.9828 0.7196
Hf 0.0000 0.0000 0.0000
Hg -5.6971 -6.6908 2.7066
Hg -2.3069 -1.2920 -1.9870
Te -1.7166 -7.6345 -1.1086
Te -9.5162 -5.6568 6.6606
Te -12.4131 -12.2955 2.9450
Te -3.7560 -3.7603 -1.6447
Te -5.3221 -8.5471 0.5333
Te -8.5401 -6.2168 2.7540
Te -9.2918 -10.3608 1.2007
Te -4.2479 -4.2225 2.3643
```

Space-group type = No. 70
Uncorrected formation energy = -778 meV per atom
Crystal system = orthorhombic


# 14
The following is a PBE calculation of an optimized crystal structure of TcBr3O, from Alexandria.

Geometry as extended XYZ:
```
20
Lattice="8.3715 0.0000 0.0000 0.0000 7.3466 2.4057 0.0000 4.3087 14.4605" Properties=species:S:1:pos:R:3 pbc="T T T"
Tc 6.6095 3.6440 12.1793
Tc 1.7621 1.4896 4.9491
Tc 6.6095 10.1656 11.9171
Tc 1.7620 8.0113 4.6868
Br 6.3017 3.7502 7.1788
Br 2.0698 5.9046 14.4090
Br 4.1590 7.9936 4.6233
Br 0.3437 9.8041 14.7931
Br 4.2125 10.1479 11.8535
Br 2.0698 7.9050 9.6874
Br 0.3437 4.0054 9.3033
Br 4.1590 1.5073 5.0127
Br 8.0279 1.8511 2.0731
Br 4.2125 3.6617 12.2429
Br 6.3017 5.7507 2.4571
Br 8.0279 7.6498 7.5628
O 7.0191 8.5559 12.0654
O 7.0191 5.2537 12.0310
O 1.3524 6.4015 4.8351
O 1.3524 3.0994 4.8008
```

Space-group type = No. 13
Excess energy over the best structure of this formula in the dataset = 0.000 eV per atom
Uncorrected formation energy = -431 meV per atom
Crystal system = monoclinic


# 15
The following is a PBE calculation of an optimized crystal structure of VRe2N, from Alexandria.

Geometry as extended XYZ:
```
8
Lattice="6.9004 0.0000 0.0000 0.0000 6.9004 0.0000 3.4502 3.4502 2.1744" Properties=species:S:1:pos:R:3 pbc="T T T"
Re 4.4196 1.7251 0.5436
Re 2.4808 5.1753 0.5436
Re 5.1753 5.9310 1.6308
Re 8.6255 7.8698 1.6308
V 0.0000 0.0000 0.0000
V 6.9004 3.4502 1.0872
N 3.4502 3.4502 0.0000
N 3.4502 6.9004 1.0872
```

Space-group type = No. 122
Uncorrected formation energy = 152 meV per atom
Crystal system = tetragonal


# 16
The following is a PBE calculation of an optimized crystal structure of HoNpPtO6, from Alexandria.

Geometry as extended XYZ:
```
18
Lattice="5.6221 0.0000 0.0000 -2.8111 4.8689 0.0000 0.0000 0.0000 8.6343" Properties=species:S:1:pos:R:3 pbc="T T T"
Ho 0.0000 3.2459 2.1586
Ho 2.8111 1.6230 6.4757
Np 2.8111 1.6230 2.1586
Np 0.0000 3.2459 6.4757
Pt 0.0000 0.0000 0.0000
Pt 0.0000 0.0000 4.3171
O 1.9904 3.2327 1.0652
O 4.6155 1.5288 1.0652
O -0.9838 4.7615 5.3823
O -1.8044 3.3401 7.5691
O 1.0067 1.5288 3.2519
O 3.6317 3.2327 3.2519
O 0.9838 4.7615 7.5691
O 3.7948 0.1074 3.2519
O -0.8206 1.6362 5.3823
O 1.8273 0.1074 1.0652
O 1.8044 3.3401 5.3823
O 0.8206 1.6362 7.5691
```

Space-group type = No. 163
Uncorrected formation energy = -2127 meV per atom
Crystal system = trigonal


# 17
The following is a PBE calculation of an optimized crystal structure of HoErSiRh, from Alexandria.

Geometry as extended XYZ:
```
4
Lattice="4.1016 0.0000 0.0000 0.0000 3.9945 0.0000 -2.0508 0.0000 5.2319" Properties=species:S:1:pos:R:3 pbc="T T T"
Ho 0.0000 0.0000 1.5012
Er 2.0508 1.9972 3.7788
Si 2.0508 1.9972 0.7428
Rh 0.0000 0.0000 4.4409
```

Space-group type = No. 38
Excess energy over the best structure of this formula in the dataset = 0.000 eV per atom
Uncorrected formation energy = -867 meV per atom
Crystal system = orthorhombic


# 18
The following is a PBE calculation of an optimized crystal structure of BaTlI, from Alexandria.

Geometry as extended XYZ:
```
6
Lattice="4.5827 -1.9629 0.3292 -0.1106 4.9842 0.3292 0.9273 0.6265 13.2131" Properties=species:S:1:pos:R:3 pbc="T T T"
I 4.0120 2.7105 5.2041
I 1.3874 0.9373 8.6674
Ba 3.4282 2.3160 10.9291
Ba 1.9712 1.3317 2.9424
Tl 3.7565 -0.7398 0.3292
Tl 0.7157 3.7611 0.3292
```

Space-group type = No. 12
Excess energy over the best structure of this formula in the dataset = 0.079 eV per atom
Uncorrected formation energy = -923 meV per atom
Crystal system = monoclinic


# 19
The following is a PBE calculation of an optimized crystal structure of Sm2Dy2Th3, from Alexandria.

Geometry as extended XYZ:
```
7
Lattice="-0.7047 -1.9032 -2.9001 2.7400 -2.1263 0.7296 -10.7268 -9.9473 11.2945" Properties=species:S:1:pos:R:3 pbc="T T T"
Sm -5.0961 -7.4240 6.1103
Sm -3.5954 -6.5527 3.0137
Dy -3.0565 -3.0067 2.7158
Dy -8.3750 -8.8437 5.6785
Th -8.1856 -10.4632 8.8554
Th -0.5059 -3.5135 0.2685
Th 0.0000 0.0000 0.0000
```

Space-group type = No. 65
Energy of formation = 0.08 eV per atom
Crystal system = orthorhombic


# 20
The following is a PBE calculation of an optimized crystal structure of PmErTm2, from Alexandria.

Geometry as extended XYZ:
```
4
Lattice="-2.0971 -2.8129 4.4068 -4.5135 -3.3055 -0.6576 0.5441 -5.5994 0.2849" Properties=species:S:1:pos:R:3 pbc="T T T"
Tm -1.5166 -2.9294 1.0085
Tm -4.5499 -8.7883 3.0256
Pm 0.0000 0.0000 0.0000
Er -3.0332 -5.8589 2.0170
```

Space-group type = No. 225
Excess energy over the best structure of this formula in the dataset = 0.110 eV per atom
Energy of formation = 0.12 eV per atom
Crystal system = cubic


# 21
The following is a PBE calculation of an optimized crystal structure of ScIrSe2, from Alexandria.

Geometry as extended XYZ:
```
4
Lattice="-0.1502 -3.4578 -0.3830 3.1964 0.0909 -2.0745 3.7868 -0.7277 5.0854" Properties=species:S:1:pos:R:3 pbc="T T T"
Ir 2.7117 -0.3506 2.1021
Sc 4.7055 -2.2265 2.4264
Se 3.6679 -0.6495 4.4263
Se 3.0264 -1.9141 0.2642
```

Space-group type = No. 6
Excess energy over the best structure of this formula in the dataset = 0.139 eV per atom
Uncorrected formation energy = -756 meV per atom
Crystal system = monoclinic


# 22
The following is a PBE calculation of an optimized crystal structure of Pm2PaCuS5, from Alexandria.

Geometry as extended XYZ:
```
18
Lattice="3.8270 0.0000 0.0000 -1.9135 8.2779 0.0000 0.0000 0.0000 12.0626" Properties=species:S:1:pos:R:3 pbc="T T T"
Pm 1.9135 6.3847 10.1949
Pm 0.0000 1.9233 8.3761
Pm 0.0000 1.8932 4.1637
Pm 1.9135 6.3546 2.3448
Pa 1.9135 5.2790 6.3500
Pa 0.0000 2.9989 0.3187
Cu 1.9135 0.8282 11.1029
Cu 0.0000 7.4498 5.0716
S 0.0000 5.7194 0.2408
S 1.9135 3.0638 10.3870
S 0.0000 8.1764 9.0468
S 0.0000 5.0118 8.3251
S 1.9135 7.9614 6.2286
S 1.9135 2.5585 6.2721
S 0.0000 5.2141 4.3557
S 1.9135 0.1015 3.0155
S 1.9135 3.2662 2.2938
S 0.0000 0.3166 0.1973
```

Space-group type = No. 36
Uncorrected formation energy = -1611 meV per atom
Crystal system = orthorhombic


# 23
The following is a PBE calculation of an optimized crystal structure of BaAc2Pu, from Alexandria.

Geometry as extended XYZ:
```
4
Lattice="-2.3215 3.1067 -0.0630 -3.8517 -0.4561 0.0334 -1.9793 1.2175 13.5693" Properties=species:S:1:pos:R:3 pbc="T T T"
Ac -2.0017 1.1221 9.6912
Ac -6.1507 2.7459 3.8486
Ba 0.0000 0.0000 0.0000
Pu -4.0762 1.9340 6.7699
```

Space-group type = No. 166
Excess energy over the best structure of this formula in the dataset = 0.115 eV per atom
Energy of formation = 0.30 eV per atom
Crystal system = trigonal